TiAg2SF | PBE | optimized geometry

```
data_TiAg2SF
_chemical_formula_sum 'Ti1 Ag2 S1 F1'
_cell_length_a 4.2018
_cell_length_b 4.2018
_cell_length_c 5.7375
_cell_angle_alpha 90.00
_cell_angle_beta 90.00
_cell_angle_gamma 90.00
_space_group_name_H-M_alt 'P 4/m m m'
_space_group_IT_number 123
_space_group_name_Hall '-P 4 2'
loop_
_atom_site_label
_atom_site_fract_x
_atom_site_fract_y
_atom_site_fract_z
Ti1 0.0000 0.0000 0.0000
Ag1 0.0000 0.5000 0.5000
S1 0.5000 0.5000 0.0000
F1 0.5000 0.5000 0.5000
```



AgSbF2 | PBE | optimized geometry

```
data_AgSbF2
_chemical_formula_sum 'Ag4 Sb4 F8'
_cell_length_a 6.3175
_cell_length_b 6.3175
_cell_length_c 6.3175
_cell_angle_alpha 90.00
_cell_angle_beta 90.00
_cell_angle_gamma 90.00
_space_group_name_H-M_alt 'F m -3 m'
_space_group_IT_number 225
_space_group_name_Hall '-F 4 2 3'
loop_
_atom_site_label
_atom_site_fract_x
_atom_site_fract_y
_atom_site_fract_z
Ag1 0.0000 0.0000 0.0000
Sb1 0.0000 0.0000 0.5000
F1 0.2500 0.2500 0.2500
```

Output
E above lowest polymorph ... 287.4 meV/atom



Ag2SbF | PBE | optimized geometry

```
data_Ag2SbF
_chemical_formula_sum 'Ag8 Sb4 F4'
_cell_length_a 7.3126
_cell_length_b 7.3126
_cell_length_c 5.6621
_cell_angle_alpha 90.00
_cell_angle_beta 90.00
_cell_angle_gamma 90.00
_space_group_name_H-M_alt 'I -4 2 d'
_space_group_IT_number 122
_space_group_name_Hall 'I -4 2bw'
loop_
_atom_site_label
_atom_site_fract_x
_atom_site_fract_y
_atom_site_fract_z
Ag1 0.2107 0.7500 0.1250
Sb1 0.0000 0.0000 0.5000
F1 0.0000 0.0000 0.0000
```

Output
E above lowest polymorph ... 0.0 meV/atom



AgSb2F8 | PBE | optimized geometry

```
data_AgSb2F8
_chemical_formula_sum 'Ag2 Sb4 F16'
_cell_length_a 11.0814
_cell_length_b 6.9883
_cell_length_c 4.5933
_cell_angle_alpha 90.00
_cell_angle_beta 106.35
_cell_angle_gamma 90.00
_space_group_name_H-M_alt 'C 1 2/m 1'
_space_group_IT_number 12
loop_
_space_group_symop_operation_xyz
'x,y,z'
'-x,-y,-z'
'-x,y,-z'
'x,-y,z'
'x+1/2,y+1/2,z'
'-x+1/2,-y+1/2,-z'
'-x+1/2,y+1/2,-z'
'x+1/2,-y+1/2,z'
loop_
_atom_site_label
_atom_site_fract_x
_atom_site_fract_y
_atom_site_fract_z
Ag1 0.0000 0.0000 0.0000
Sb1 0.1702 0.5000 0.5073
F1 0.0505 0.5000 0.7742
F2 0.1369 0.2044 0.4935
F3 0.2138 0.0000 0.0715
```



Ag2SbF8 | PBE | optimized geometry

```
data_Ag2SbF8
_chemical_formula_sum 'Ag4 Sb2 F16'
_cell_length_a 10.0230
_cell_length_b 7.9559
_cell_length_c 4.5167
_cell_angle_alpha 90.00
_cell_angle_beta 95.69
_cell_angle_gamma 90.00
_space_group_name_H-M_alt 'C 1 2/m 1'
_space_group_IT_number 12
loop_
_space_group_symop_operation_xyz
'x,y,z'
'-x,-y,-z'
'-x,y,-z'
'x,-y,z'
'x+1/2,y+1/2,z'
'-x+1/2,-y+1/2,-z'
'-x+1/2,y+1/2,-z'
'x+1/2,-y+1/2,z'
loop_
_atom_site_label
_atom_site_fract_x
_atom_site_fract_y
_atom_site_fract_z
Ag1 0.1248 0.0000 0.2609
Sb1 0.0000 0.5000 0.0000
F1 0.0934 0.3268 0.2321
F2 0.1027 0.0000 0.7533
F3 0.1444 0.5000 0.7464
```

Output
E above lowest polymorph ... 0.0 meV/atom



Ag3SbF8 | PBE | optimized geometry

```
data_Ag3SbF8
_chemical_formula_sum 'Ag6 Sb2 F16'
_cell_length_a 6.0166
_cell_length_b 10.5815
_cell_length_c 7.8621
_cell_angle_alpha 90.00
_cell_angle_beta 90.00
_cell_angle_gamma 90.00
_space_group_name_H-M_alt 'C 2 2 2'
_space_group_IT_number 21
loop_
_space_group_symop_operation_xyz
'x,y,z'
'-x,-y,z'
'x,-y,-z'
'-x,y,-z'
'x+1/2,y+1/2,z'
'-x+1/2,-y+1/2,z'
'x+1/2,-y+1/2,-z'
'-x+1/2,y+1/2,-z'
loop_
_atom_site_label
_atom_site_fract_x
_atom_site_fract_y
_atom_site_fract_z
Ag1 0.0000 0.0000 0.0000
Ag2 0.2500 0.2500 0.7865
Sb1 0.0000 0.0000 0.5000
F1 0.0000 0.1830 0.5000
F2 0.0000 0.2018 0.0000
F3 0.2261 0.0064 0.6731
```



AgSbF6 | PBE | optimized geometry

```
data_AgSbF6
_chemical_formula_sum 'Ag1 Sb1 F6'
_cell_length_a 5.5080
_cell_length_b 5.5139
_cell_length_c 6.1216
_cell_angle_alpha 63.40
_cell_angle_beta 63.46
_cell_angle_gamma 60.18
_space_group_name_H-M_alt 'P -1'
_space_group_IT_number 2
loop_
_space_group_symop_operation_xyz
'x,y,z'
'-x,-y,-z'
loop_
_atom_site_label
_atom_site_fract_x
_atom_site_fract_y
_atom_site_fract_z
Ag1 0.0000 0.0000 0.0000
Sb1 0.5000 0.5000 0.5000
F1 0.1472 0.7149 0.7129
F2 0.2844 0.5741 0.2866
F3 0.4248 0.1468 0.7133
```



AgSbF6 | PBE | optimized geometry

```
data_AgSbF6
_chemical_formula_sum 'Ag8 Sb8 F48'
_cell_length_a 9.9687
_cell_length_b 9.9687
_cell_length_c 9.9687
_cell_angle_alpha 90.00
_cell_angle_beta 90.00
_cell_angle_gamma 90.00
_space_group_name_H-M_alt 'I a -3'
_space_group_IT_number 206
_space_group_name_Hall '-I 2b 2c 3'
loop_
_atom_site_label
_atom_site_fract_x
_atom_site_fract_y
_atom_site_fract_z
Ag1 0.0000 0.0000 0.0000
Sb1 0.2500 0.2500 0.2500
F1 0.1088 0.1340 0.3126
```



| no. | formation energy (no corrections) (eV/atom) |
| --- | --- |
| 1 | 0.089 |
| 2 | -0.849 |
| 3 | -0.394 |
| 4 | -1.966 |
| 5 | -1.772 |
| 6 | -1.636 |
| 7 | -2.057 |
| 8 | -2.041 |